w:
DFT (GGA-PBE) results for a relaxed structure of ZnPCl2.

a = 3.3546 Å, b = 3.3546 Å, c = 34.0074 Å
α = 90.00°, β = 90.00°, γ = 120.00°
Closest atoms and distances in Å follow each position.
Space group R-3m (No. 166, hexagonal axes)
One atom of each set of equivalent atoms:
Zn (0.0000, 0.0000, 0.0000) [3 per cell]  6 Cl 2.43
P (0.0000, 0.0000, 0.5000) [3 per cell]  6 P 3.35
Cl (0.0000, 0.0000, 0.3765) [6 per cell]  3 Zn 2.43

***

x:
DFT (GGA-PBE) results for a relaxed structure of ZnPCl2.

a = 3.3957 Å, b = 6.5119 Å, c = 8.8440 Å
α = 90.00°, β = 90.00°, γ = 90.00°
Closest atoms and distances in Å follow each position.
Space group Cmm2 (No. 35)
One atom of each set of equivalent atoms:
Zn (0.0000, 0.0000, 0.0000) [2 per cell]  2 Cl 2.32, 2 P 2.47
P (0.0000, 0.5000, 0.7977) [2 per cell]  2 Cl 2.42, 2 Zn 2.47
Cl (0.0000, 0.0000, 0.6021) [2 per cell]  2 P 2.42
Cl (0.0000, 0.5000, 0.1794) [2 per cell]  2 Zn 2.32

***

Short version: x, w, most stable first.

***

w:
DFT (GGA-PBE) results for a relaxed structure of ZnPCl2.

a = 3.3540 Å, b = 3.3540 Å, c = 34.0526 Å
α = 90.00°, β = 90.00°, γ = 120.00°
Closest atoms and distances in Å follow each position.
Space group R-3m (No. 166, hexagonal axes)
One atom of each set of equivalent atoms:
Zn (0.0000, 0.0000, 0.0000) [3 per cell]  6 Cl 2.43
P (0.0000, 0.0000, 0.5000) [3 per cell]  6 P 3.35
Cl (0.0000, 0.0000, 0.2902) [6 per cell]  3 Zn 2.43

***

x:
DFT (GGA-PBE) results for a relaxed structure of ZnPCl2.

a = 6.0703 Å, b = 7.7115 Å, c = 3.2709 Å
α = 90.00°, β = 90.00°, γ = 90.00°
Closest atoms and distances in Å follow each position.
Space group Cmmm (No. 65)
One atom of each set of equivalent atoms:
Zn (0.0000, 0.0000, 0.0000) [2 per cell]  8 Cl 2.95, 2 P 3.04, 2 Zn 3.27
P (0.0000, 0.5000, 0.0000) [2 per cell]  8 Cl 2.95, 2 Zn 3.04, 2 P 3.27
Cl (0.2500, 0.2500, 0.5000) [4 per cell]  4 Zn 2.95, 4 P 2.95, 4 Cl 3.04-3.27

***

Short version: w, x, most stable first.

***

w:
DFT (GGA-PBE) results for a relaxed structure of ZnPCl2.

a = 3.6285 Å, b = 3.6285 Å, c = 12.9080 Å
α = 90.00°, β = 90.00°, γ = 90.00°
Closest atoms and distances in Å follow each position.
Space group I-4m2 (No. 119)
One atom of each set of equivalent atoms:
Zn (0.0000, 0.0000, 0.0000) [2 per cell]  4 Cl 2.57
P (0.0000, 0.5000, 0.2500) [2 per cell]  4 Cl 2.57
Cl (0.0000, 0.0000, 0.5000) [2 per cell]  4 Zn 2.57
Cl (0.0000, 0.5000, 0.7500) [2 per cell]  4 P 2.57

***

x:
DFT (GGA-PBE) results for a relaxed structure of ZnPCl2.

a = 3.2588 Å, b = 6.6801 Å, c = 10.8799 Å
α = 90.00°, β = 90.00°, γ = 90.00°
Closest atoms and distances in Å follow each position.
Space group Immm (No. 71)
One atom of each set of equivalent atoms:
Zn (0.0000, 0.0000, 0.0000) [2 per cell]  4 Cl 2.33
P (0.0000, 0.0000, 0.5000) [2 per cell]  2 P 3.26
Cl (0.0000, 0.5000, 0.3467) [4 per cell]  2 Zn 2.33

***

y:
DFT (GGA-PBE) results for a relaxed structure of ZnPCl2.

a = 6.7081 Å, b = 6.7081 Å, c = 6.7081 Å
α = 90.00°, β = 90.00°, γ = 90.00°
Closest atoms and distances in Å follow each position.
Space group Fm-3m (No. 225)
One atom of each set of equivalent atoms:
Zn (0.0000, 0.0000, 0.0000) [4 per cell]  8 Cl 2.90
P (0.0000, 0.0000, 0.5000) [4 per cell]  8 Cl 2.90
Cl (0.2500, 0.2500, 0.2500) [8 per cell]  4 Zn 2.90, 4 P 2.90

***

z:
DFT (GGA-PBE) results for a relaxed structure of ZnPCl2.

a = 4.4810 Å, b = 4.4810 Å, c = 3.7739 Å
α = 90.00°, β = 90.00°, γ = 90.00°
Closest atoms and distances in Å follow each position.
Space group P4/mmm (No. 123)
One atom of each set of equivalent atoms:
Zn (0.0000, 0.0000, 0.0000) [1 per cell]  8 Cl 2.93, 4 P 3.17
P (0.5000, 0.5000, 0.0000) [1 per cell]  8 Cl 2.93, 4 Zn 3.17
Cl (0.0000, 0.5000, 0.5000) [2 per cell]  4 P 2.93, 4 Zn 2.93, 4 Cl 3.17

***

Short version: x, w, z, y, most stable first.

***

w:
DFT (GGA-PBE) results for a relaxed structure of ZrZnPCl2.

a = 5.0074 Å, b = 5.0074 Å, c = 5.2139 Å
α = 90.00°, β = 90.00°, γ = 90.00°
Closest atoms and distances in Å follow each position.
Space group P4/mmm (No. 123)
One atom of each set of equivalent atoms:
Zr (0.0000, 0.0000, 0.0000) [1 per cell]  4 Cl 2.50, 2 P 2.61
Zn (0.5000, 0.5000, 0.5000) [1 per cell]  4 P 3.54, 8 Cl 3.61
P (0.0000, 0.0000, 0.5000) [1 per cell]  2 Zr 2.61
Cl (0.0000, 0.5000, 0.0000) [2 per cell]  2 Zr 2.50

***

x:
DFT (GGA-PBE) results for a relaxed structure of ZrZnPCl2.

a = 4.4862 Å, b = 4.4862 Å, c = 5.3687 Å
α = 90.00°, β = 90.00°, γ = 90.00°
Closest atoms and distances in Å follow each position.
Space group P4/mmm (No. 123)
One atom of each set of equivalent atoms:
Zr (0.0000, 0.0000, 0.0000) [1 per cell]  4 P 3.17, 8 Cl 3.50
Zn (0.5000, 0.5000, 0.5000) [1 per cell]  4 Cl 2.24
P (0.5000, 0.5000, 0.0000) [1 per cell]  2 Zn 2.68
Cl (0.0000, 0.5000, 0.5000) [2 per cell]  2 Zn 2.24

***

Short version: w, x, most stable first.

***

w:
DFT (GGA-PBE) results for a relaxed structure of ZrPCl2.

a = 3.2120 Å, b = 3.2120 Å, c = 33.2645 Å
α = 90.00°, β = 90.00°, γ = 120.00°
Closest atoms and distances in Å follow each position.
Space group R-3m (No. 166, hexagonal axes)
One atom of each set of equivalent atoms:
Zr (0.0000, 0.0000, 0.0000) [3 per cell]  6 Cl 2.61
P (0.0000, 0.0000, 0.5000) [3 per cell]  6 P 3.21
Cl (0.0000, 0.0000, 0.2780) [6 per cell]  3 Zr 2.61

***

x:
DFT (GGA-PBE) results for a relaxed structure of ZrPCl2.

a = 3.1953 Å, b = 4.5152 Å, c = 5.0874 Å
α = 90.00°, β = 90.00°, γ = 90.00°
Closest atoms and distances in Å follow each position.
Space group Pmmm (No. 47)
One atom of each set of equivalent atoms:
Zr (0.0000, 0.0000, 0.0000) [1 per cell]  4 Cl 2.77, 4 P 3.00
P (0.5000, 0.0000, 0.5000) [1 per cell]  4 Cl 2.77, 4 Zr 3.00
Cl (0.0000, 0.5000, 0.5000) [1 per cell]  4 P 2.77, 4 Cl 3.00
Cl (0.5000, 0.5000, 0.0000) [1 per cell]  4 Zr 2.77, 4 Cl 3.00

***

y:
DFT (GGA-PBE) results for a relaxed structure of ZrPCl2.

a = 15.0669 Å, b = 3.4454 Å, c = 4.0075 Å
α = 90.00°, β = 95.87°, γ = 90.00°
Closest atoms and distances in Å follow each position.
Space group C2/m (No. 12)
One atom of each set of equivalent atoms:
Zr (0.0000, 0.0000, 0.0000) [2 per cell]  4 P 2.64, 4 Cl 2.77
P (0.0000, 0.5000, 0.5000) [2 per cell]  2 Cl 2.56, 4 Zr 2.64
Cl (0.1404, 0.5000, 0.1902) [4 per cell]  1 P 2.56, 2 Zr 2.77

***

Short version: y, w, x, most stable first.

***

w:
DFT (GGA-PBE) results for a relaxed structure of ZrP2Cl.

a = 3.5785 Å, b = 3.5785 Å, c = 22.6167 Å
α = 90.00°, β = 90.00°, γ = 120.00°
Closest atoms and distances in Å follow each position.
Space group R-3m (No. 166, hexagonal axes)
One atom of each set of equivalent atoms:
Zr (0.0000, 0.0000, 0.0000) [3 per cell]  6 P 2.61
P (0.0000, 0.0000, 0.2626) [6 per cell]  3 Zr 2.61
Cl (0.0000, 0.0000, 0.5000) [3 per cell]  6 P 3.00

***

x:
DFT (GGA-PBE) results for a relaxed structure of ZrP2Cl.

a = 8.7064 Å, b = 3.4251 Å, c = 7.5833 Å
α = 90.00°, β = 103.42°, γ = 90.00°
Closest atoms and distances in Å follow each position.
Space group Cm (No. 8)
One atom of each set of equivalent atoms:
Zr (0.0000, 0.0000, 0.0000) [2 per cell]  2 Cl 2.59, 5 P 2.63-2.75
P (0.2652, 0.0000, 0.8913) [2 per cell]  1 P 2.10
P (0.4147, 0.0000, 0.7096) [2 per cell]  1 P 2.10
Cl (0.1176, 0.5000, 0.2518) [2 per cell]  2 Zr 2.59

***

Short version: x, w, most stable first.